Crystalline V2ZnO at its relaxed geometry, computed with PBE with a Hubbard U.

The structure in CIF format:
```
data_V2ZnO
_chemical_formula_sum 'V8 Zn4 O4'
_cell_length_a 6.128
_cell_length_b 6.128
_cell_length_c 6.946
_cell_angle_alpha 90.00
_cell_angle_beta 90.00
_cell_angle_gamma 90.00
_symmetry_space_group_name_H-M 'I -4 2 d'
_symmetry_Int_Tables_number 122
_symmetry_space_group_name_Hall 'I -4 2bw'
loop_
_atom_site_label
_atom_site_type_symbol
_atom_site_fract_x
_atom_site_fract_y
_atom_site_fract_z
V1 V 0.155 0.250 0.125
Zn1 Zn 0.000 0.000 0.500
O1 O 0.000 0.000 0.000
```

Results
The calculation puts the energy above the most stable polymorph in this dataset at 0.0 kJ/mol of atoms. As for the density of states at the Fermi level: 4.94 states/eV/cell. For the total energy, the calculation gives -5.44 eV per atom. As for the total magnetization: 23.54 μB per cell. The volume is 16.3 Å³ per atom.